*a*
This record from the Alexandria database describes Sc2RhPb2 after structural relaxation. The functional is PBE.

Values from the calculation:
DOS(E_F)   10.0 states/eV/cell
Total magnetic moment   0.0 μB/f.u.

abc: 7.153 7.153 4.421
angles: 90.00 90.00 90.00
Element x y z (fractional)
1 Sc 0.164 0.336 0.000
2 Sc 0.336 0.836 0.000
3 Sc 0.664 0.164 0.000
4 Sc 0.836 0.664 0.000
5 Rh 0.000 0.000 0.500
6 Rh 0.500 0.500 0.500
7 Pb 0.148 0.648 0.500
8 Pb 0.352 0.148 0.500
9 Pb 0.648 0.852 0.500
10 Pb 0.852 0.352 0.500



*b*
This record from the Alexandria database describes Sc2RhPb2 after structural relaxation. The functional is PBE.

Values from the calculation:
DOS(E_F)   7.4 states/eV/cell
Total magnetic moment   0.0 μB/f.u.

abc: 6.904 6.904 4.976
angles: 90.00 90.00 90.00
Element x y z (fractional)
1 Sc 0.163 0.337 0.000
2 Sc 0.337 0.837 0.000
3 Sc 0.663 0.163 0.000
4 Sc 0.837 0.663 0.000
5 Rh 0.000 0.000 0.000
6 Rh 0.500 0.500 0.000
7 Pb 0.165 0.665 0.500
8 Pb 0.335 0.165 0.500
9 Pb 0.665 0.835 0.500
10 Pb 0.835 0.335 0.500



Stability check: which of them is least stable? *b*.



*a*
This record from the Alexandria database describes ScRh2Pb2 after structural relaxation. The functional is PBE.

Values from the calculation:
DOS(E_F)   6.8 states/eV/cell
Total magnetic moment   0.0 μB/f.u.

abc: 6.945 6.945 4.269
angles: 90.00 90.00 90.00
Element x y z (fractional)
1 Sc 0.000 0.000 0.000
2 Sc 0.500 0.500 0.000
3 Rh 0.139 0.361 0.000
4 Rh 0.361 0.861 0.000
5 Rh 0.639 0.139 0.000
6 Rh 0.861 0.639 0.000
7 Pb 0.169 0.669 0.500
8 Pb 0.331 0.169 0.500
9 Pb 0.669 0.831 0.500
10 Pb 0.831 0.331 0.500



*b*
This record from the Alexandria database describes ScRh2Pb2 after structural relaxation. The functional is PBE.

Values from the calculation:
DOS(E_F)   9.0 states/eV/cell
Total magnetic moment   0.5 μB/f.u.

abc: 7.981 7.981 3.188
angles: 90.00 90.00 90.00
Element x y z (fractional)
1 Sc 0.000 0.000 0.000
2 Sc 0.500 0.500 0.000
3 Rh 0.149 0.351 0.500
4 Rh 0.351 0.851 0.500
5 Rh 0.649 0.149 0.500
6 Rh 0.851 0.649 0.500
7 Pb 0.148 0.648 0.000
8 Pb 0.352 0.148 0.000
9 Pb 0.648 0.852 0.000
10 Pb 0.852 0.352 0.000



Stability check: which of them is least stable? *b*.



*a*
This record from the Alexandria database describes TmScRhPb after structural relaxation. The functional is PBE.

Values from the calculation:
DOS(E_F)   1.9 states/eV/cell
Total magnetic moment   0.0 μB/f.u.

abc: 3.385 3.385 7.730
angles: 90.00 90.00 90.00
Element x y z (fractional)
1 Tm 0.000 0.000 0.000
2 Sc 0.000 0.000 0.589
3 Rh 0.500 0.500 0.779
4 Pb 0.500 0.500 0.309



*b*
This record from the Alexandria database describes TmScRhPb after structural relaxation. The functional is PBE.

Values from the calculation:
DOS(E_F)   2.7 states/eV/cell
Total magnetic moment   0.0 μB/f.u.

abc: 4.978 4.978 4.978
angles: 60.00 60.00 60.00
Element x y z (fractional)
1 Tm 0.000 0.000 0.000
2 Sc 0.500 0.500 0.500
3 Rh 0.750 0.750 0.750
4 Pb 0.250 0.250 0.250



Stability check: which of them is least stable? *b*.



*a*
This record from the Alexandria database describes RhPb2Se2 after structural relaxation. The functional is PBE.

Values from the calculation:
DOS(E_F)   5.1 states/eV/cell
Total magnetic moment   1.5 μB/f.u.

abc: 7.882 7.882 7.882
angles: 148.21 148.21 45.58
Element x y z (fractional)
1 Rh 0.000 0.000 0.000
2 Pb 0.250 0.750 0.500
3 Pb 0.750 0.250 0.500
4 Se 0.413 0.413 0.000
5 Se 0.587 0.587 0.000



*b*
This record from the Alexandria database describes RhPb2Se2 after structural relaxation. The functional is PBE.

Values from the calculation:
DOS(E_F)   5.4 states/eV/cell
Total magnetic moment   0.0 μB/f.u.

abc: 7.008 7.008 4.966
angles: 90.00 90.00 90.00
Element x y z (fractional)
1 Rh 0.000 0.000 0.000
2 Rh 0.500 0.500 0.000
3 Pb 0.168 0.332 0.500
4 Pb 0.332 0.832 0.500
5 Pb 0.668 0.168 0.500
6 Pb 0.832 0.668 0.500
7 Se 0.173 0.673 0.000
8 Se 0.327 0.173 0.000
9 Se 0.673 0.827 0.000
10 Se 0.827 0.327 0.000



Stability check: which of them is least stable? *a*.



*a*
This record from the Alexandria database describes Rh3PbSe after structural relaxation. The functional is PBE.

Values from the calculation:
DOS(E_F)   11.8 states/eV/cell
Total magnetic moment   0.0 μB/f.u.

abc: 4.654 4.654 4.654
angles: 90.00 90.00 90.00
Element x y z (fractional)
1 Rh 0.000 0.000 0.500
2 Rh 0.000 0.500 0.000
3 Rh 0.500 0.000 0.000
4 Pb 0.500 0.500 0.500
5 Se 0.000 0.000 0.000



*b*
This record from the Alexandria database describes Rh3PbSe after structural relaxation. The functional is PBE.

Values from the calculation:
DOS(E_F)   7.8 states/eV/cell
Total magnetic moment   2.4 μB/f.u.

abc: 4.985 4.985 4.985
angles: 90.00 90.00 90.00
Element x y z (fractional)
1 Rh 0.000 0.000 0.500
2 Rh 0.000 0.500 0.000
3 Rh 0.500 0.000 0.000
4 Pb 0.000 0.000 0.000
5 Se 0.500 0.500 0.500



Stability check: which of them is least stable? *b*.



*a*
This record from the Alexandria database describes SiRhPb2W after structural relaxation. The functional is PBE.

Values from the calculation:
DOS(E_F)   3.7 states/eV/cell
Total magnetic moment   0.0 μB/f.u.

abc: 5.347 5.347 4.780
angles: 90.00 90.00 90.00
Element x y z (fractional)
1 Si 0.000 0.000 0.000
2 Rh 0.500 0.500 0.000
3 Pb 0.000 0.500 0.500
4 Pb 0.500 0.000 0.500
5 W 0.500 0.500 0.500



*b*
This record from the Alexandria database describes SiRhPb2W after structural relaxation. The functional is PBE.

Values from the calculation:
DOS(E_F)   6.7 states/eV/cell
Total magnetic moment   0.0 μB/f.u.

abc: 5.152 5.152 4.555
angles: 90.00 90.00 90.00
Element x y z (fractional)
1 Si 0.000 0.000 0.000
2 Rh 0.500 0.500 0.500
3 Pb 0.000 0.500 0.000
4 Pb 0.500 0.000 0.000
5 W 0.000 0.000 0.500



Stability check: which of them is least stable? *b*.